1.
Here is RuPtW after structural relaxation from Alexandria via LeMat-Bulk. Energies are from GGA-PBEsol.

```
data_RuPtW
_symmetry_space_group_name_H-M 'P 1'
_symmetry_Int_Tables_number 1
_cell_length_a 2.747
_cell_length_b 2.747
_cell_length_c 6.731
_cell_angle_alpha 90.00
_cell_angle_beta 90.00
_cell_angle_gamma 120.00
loop_
_symmetry_equiv_pos_as_xyz
'x,y,z'
loop_
_atom_site_label
_atom_site_type_symbol
_atom_site_fract_x
_atom_site_fract_y
_atom_site_fract_z
Pt1 Pt 0.000 0.000 0.002
Ru1 Ru 0.333 0.667 0.657
W1 W 0.667 0.333 0.341
```

Output
Distance to the lowest polymorph of the same formula = 0.111 eV/atom
Symmetry = P3m1
Formation enthalpy at 0 K = -1 kJ per mole of atoms

2.
Here is RuPtW after structural relaxation from Alexandria via LeMat-Bulk. Energies are from GGA-PBEsol.

```
data_RuPtW
_symmetry_space_group_name_H-M 'P 1'
_symmetry_Int_Tables_number 1
_cell_length_a 2.751
_cell_length_b 2.751
_cell_length_c 6.115
_cell_angle_alpha 103.00
_cell_angle_beta 103.00
_cell_angle_gamma 90.00
loop_
_symmetry_equiv_pos_as_xyz
'x,y,z'
loop_
_atom_site_label
_atom_site_type_symbol
_atom_site_fract_x
_atom_site_fract_y
_atom_site_fract_z
Ru1 Ru 0.327 0.327 0.654
Pt1 Pt 0.001 0.001 0.003
W1 W 0.672 0.672 0.344
```

Output
Distance to the lowest polymorph of the same formula = 0.025 eV/atom
Symmetry = I4mm
Formation enthalpy at 0 K = -10 kJ per mole of atoms

3.
Here is RuPtW after structural relaxation from Alexandria via LeMat-Bulk. Energies are from GGA-PBEsol.

```
data_RuPtW
_symmetry_space_group_name_H-M 'P 1'
_symmetry_Int_Tables_number 1
_cell_length_a 2.718
_cell_length_b 3.879
_cell_length_c 4.771
_cell_angle_alpha 113.99
_cell_angle_beta 106.55
_cell_angle_gamma 90.00
loop_
_symmetry_equiv_pos_as_xyz
'x,y,z'
loop_
_atom_site_label
_atom_site_type_symbol
_atom_site_fract_x
_atom_site_fract_y
_atom_site_fract_z
W1 W 0.671 0.671 0.342
Ru1 Ru 0.330 0.330 0.660
Pt1 Pt 0.999 0.999 0.998
```

Output
Distance to the lowest polymorph of the same formula = 0.000 eV/atom
Symmetry = Imm2
Formation enthalpy at 0 K = -12 kJ per mole of atoms

4.
Here is Y3RuPt after structural relaxation from Alexandria via LeMat-Bulk. Energies are from GGA-PBEsol.

```
data_Y3RuPt
_symmetry_space_group_name_H-M 'P 1'
_symmetry_Int_Tables_number 1
_cell_length_a 5.106
_cell_length_b 5.106
_cell_length_c 5.106
_cell_angle_alpha 90.00
_cell_angle_beta 90.00
_cell_angle_gamma 90.00
loop_
_symmetry_equiv_pos_as_xyz
'x,y,z'
loop_
_atom_site_label
_atom_site_type_symbol
_atom_site_fract_x
_atom_site_fract_y
_atom_site_fract_z
Y1 Y 0.000 0.500 0.000
Y2 Y 0.000 0.000 0.500
Y3 Y 0.500 0.000 0.000
Ru1 Ru 0.000 0.000 0.000
Pt1 Pt 0.500 0.500 0.500
```

Output
Symmetry = Pm-3m
Formation enthalpy at 0 K = 0 kJ per mole of atoms

5.
Here is ZnRuPt2 after structural relaxation from Alexandria via LeMat-Bulk. Energies are from GGA-PBEsol.

```
data_ZnRuPt2
_symmetry_space_group_name_H-M 'P 1'
_symmetry_Int_Tables_number 1
_cell_length_a 2.702
_cell_length_b 4.437
_cell_length_c 4.710
_cell_angle_alpha 90.00
_cell_angle_beta 90.00
_cell_angle_gamma 90.00
loop_
_symmetry_equiv_pos_as_xyz
'x,y,z'
loop_
_atom_site_label
_atom_site_type_symbol
_atom_site_fract_x
_atom_site_fract_y
_atom_site_fract_z
Pt1 Pt 0.000 0.000 0.054
Pt2 Pt 0.000 0.500 0.692
Ru1 Ru 0.500 0.000 0.554
Zn1 Zn 0.500 0.500 0.200
```

Output
Symmetry = Pmm2
Formation enthalpy at 0 K = -15 kJ per mole of atoms

6.
Here is ZnRuPt2 after structural relaxation from Alexandria via LeMat-Bulk. Energies are from GGA-PBEsol.

```
data_ZnRuPt2
_symmetry_space_group_name_H-M 'P 1'
_symmetry_Int_Tables_number 1
_cell_length_a 4.331
_cell_length_b 4.331
_cell_length_c 4.331
_cell_angle_alpha 60.00
_cell_angle_beta 60.00
_cell_angle_gamma 60.00
loop_
_symmetry_equiv_pos_as_xyz
'x,y,z'
loop_
_atom_site_label
_atom_site_type_symbol
_atom_site_fract_x
_atom_site_fract_y
_atom_site_fract_z
Pt1 Pt 0.000 0.000 0.000
Pt2 Pt 0.750 0.750 0.750
Ru1 Ru 0.500 0.500 0.500
Zn1 Zn 0.250 0.250 0.250
```

Output
Symmetry = F-43m
Formation enthalpy at 0 K = 5 kJ per mole of atoms

7.
Here is Zn2RuPt after structural relaxation from Alexandria via LeMat-Bulk. Energies are from GGA-PBEsol.

```
data_Zn2RuPt
_symmetry_space_group_name_H-M 'P 1'
_symmetry_Int_Tables_number 1
_cell_length_a 4.291
_cell_length_b 4.291
_cell_length_c 4.291
_cell_angle_alpha 60.00
_cell_angle_beta 60.00
_cell_angle_gamma 60.00
loop_
_symmetry_equiv_pos_as_xyz
'x,y,z'
loop_
_atom_site_label
_atom_site_type_symbol
_atom_site_fract_x
_atom_site_fract_y
_atom_site_fract_z
Pt1 Pt 0.500 0.500 0.500
Zn1 Zn 0.750 0.750 0.750
Zn2 Zn 0.000 0.000 0.000
Ru1 Ru 0.250 0.250 0.250
```

Output
Symmetry = F-43m
Formation enthalpy at 0 K = 2 kJ per mole of atoms

8.
Here is Zn2RuPt after structural relaxation from Alexandria via LeMat-Bulk. Energies are from GGA-PBEsol.

```
data_Zn2RuPt
_symmetry_space_group_name_H-M 'P 1'
_symmetry_Int_Tables_number 1
_cell_length_a 2.702
_cell_length_b 4.465
_cell_length_c 4.856
_cell_angle_alpha 99.31
_cell_angle_beta 90.00
_cell_angle_gamma 107.61
loop_
_symmetry_equiv_pos_as_xyz
'x,y,z'
loop_
_atom_site_label
_atom_site_type_symbol
_atom_site_fract_x
_atom_site_fract_y
_atom_site_fract_z
Ru1 Ru 0.500 0.000 0.000
Zn1 Zn 0.249 0.498 0.245
Zn2 Zn 0.751 0.502 0.755
Pt1 Pt 0.000 0.000 0.500
```

Output
Symmetry = C2/m
Formation enthalpy at 0 K = -16 kJ per mole of atoms

9.
Here is Zn2RuPt after structural relaxation from Alexandria via LeMat-Bulk. Energies are from GGA-PBEsol.

```
data_Zn2RuPt
_symmetry_space_group_name_H-M 'P 1'
_symmetry_Int_Tables_number 1
_cell_length_a 2.696
_cell_length_b 2.696
_cell_length_c 8.530
_cell_angle_alpha 90.00
_cell_angle_beta 90.00
_cell_angle_gamma 115.94
loop_
_symmetry_equiv_pos_as_xyz
'x,y,z'
loop_
_atom_site_label
_atom_site_type_symbol
_atom_site_fract_x
_atom_site_fract_y
_atom_site_fract_z
Zn1 Zn 0.000 0.000 0.754
Zn2 Zn 0.000 0.000 0.246
Pt1 Pt 0.500 0.500 0.500
Ru1 Ru 0.500 0.500 0.000
```

Output
Symmetry = Cmmm
Formation enthalpy at 0 K = -8 kJ per mole of atoms

10.
Here is ZnRuPt2 after structural relaxation from Alexandria via LeMat-Bulk. Energies are from GGA-PBEsol.

```
data_ZnRuPt2
_symmetry_space_group_name_H-M 'P 1'
_symmetry_Int_Tables_number 1
_cell_length_a 3.797
_cell_length_b 3.797
_cell_length_c 3.921
_cell_angle_alpha 90.00
_cell_angle_beta 90.00
_cell_angle_gamma 90.00
loop_
_symmetry_equiv_pos_as_xyz
'x,y,z'
loop_
_atom_site_label
_atom_site_type_symbol
_atom_site_fract_x
_atom_site_fract_y
_atom_site_fract_z
Pt1 Pt 0.500 0.000 0.000
Pt2 Pt 0.000 0.500 0.000
Zn1 Zn 0.000 0.000 0.500
Ru1 Ru 0.500 0.500 0.500
```

Output
Symmetry = P4/mmm
Formation enthalpy at 0 K = -7 kJ per mole of atoms

11.
Here is ZnRu2Pt after structural relaxation from Alexandria via LeMat-Bulk. Energies are from GGA-PBEsol.

```
data_ZnRu2Pt
_symmetry_space_group_name_H-M 'P 1'
_symmetry_Int_Tables_number 1
_cell_length_a 2.664
_cell_length_b 4.573
_cell_length_c 5.276
_cell_angle_alpha 114.78
_cell_angle_beta 103.18
_cell_angle_gamma 93.23
loop_
_symmetry_equiv_pos_as_xyz
'x,y,z'
loop_
_atom_site_label
_atom_site_type_symbol
_atom_site_fract_x
_atom_site_fract_y
_atom_site_fract_z
Ru1 Ru 0.000 0.000 0.500
Ru2 Ru 0.500 0.500 0.500
Pt1 Pt 0.000 0.500 0.000
Zn1 Zn 0.500 0.000 0.000
```

Output
Symmetry = C2/m
Formation enthalpy at 0 K = 20 kJ per mole of atoms

12.
Here is ZrRuPt2 after structural relaxation from Alexandria via LeMat-Bulk. Energies are from GGA-PBEsol.

```
data_ZrRuPt2
_symmetry_space_group_name_H-M 'P 1'
_symmetry_Int_Tables_number 1
_cell_length_a 2.874
_cell_length_b 4.855
_cell_length_c 4.831
_cell_angle_alpha 100.20
_cell_angle_beta 107.30
_cell_angle_gamma 90.00
loop_
_symmetry_equiv_pos_as_xyz
'x,y,z'
loop_
_atom_site_label
_atom_site_type_symbol
_atom_site_fract_x
_atom_site_fract_y
_atom_site_fract_z
Ru1 Ru 0.502 0.521 0.004
Zr1 Zr 0.752 0.247 0.504
Pt1 Pt 0.000 0.997 0.000
Pt2 Pt 0.246 0.735 0.492
```

Output
Symmetry = Cm
Formation enthalpy at 0 K = -43 kJ per mole of atoms

13.
Here is ZrRuPt2 after structural relaxation from Alexandria via LeMat-Bulk. Energies are from GGA-PBEsol.

```
data_ZrRuPt2
_symmetry_space_group_name_H-M 'P 1'
_symmetry_Int_Tables_number 1
_cell_length_a 4.507
_cell_length_b 4.507
_cell_length_c 4.507
_cell_angle_alpha 60.00
_cell_angle_beta 60.00
_cell_angle_gamma 60.00
loop_
_symmetry_equiv_pos_as_xyz
'x,y,z'
loop_
_atom_site_label
_atom_site_type_symbol
_atom_site_fract_x
_atom_site_fract_y
_atom_site_fract_z
Pt1 Pt 0.250 0.250 0.250
Pt2 Pt 0.750 0.750 0.750
Zr1 Zr 0.500 0.500 0.500
Ru1 Ru 0.000 0.000 0.000
```

Output
Symmetry = Fm-3m
Formation enthalpy at 0 K = -29 kJ per mole of atoms

14.
Here is PtS after structural relaxation from Alexandria via LeMat-Bulk. Energies are from GGA-PBEsol.

```
data_PtS
_symmetry_space_group_name_H-M 'P 1'
_symmetry_Int_Tables_number 1
_cell_length_a 3.468
_cell_length_b 3.468
_cell_length_c 6.066
_cell_angle_alpha 90.00
_cell_angle_beta 90.00
_cell_angle_gamma 90.00
loop_
_symmetry_equiv_pos_as_xyz
'x,y,z'
loop_
_atom_site_label
_atom_site_type_symbol
_atom_site_fract_x
_atom_site_fract_y
_atom_site_fract_z
Pt1 Pt 0.500 0.000 0.500
Pt2 Pt 0.000 0.500 0.000
S1 S 0.000 0.000 0.750
S2 S 0.000 0.000 0.250
```

Output
Symmetry = P4_2/mmc
ΔE_f (raw) = -0.443 eV per atom

15.
Here is PtS after structural relaxation from Alexandria via LeMat-Bulk. Energies are from GGA-PBEsol.

```
data_PtS
_symmetry_space_group_name_H-M 'P 1'
_symmetry_Int_Tables_number 1
_cell_length_a 6.387
_cell_length_b 6.387
_cell_length_c 6.568
_cell_angle_alpha 90.00
_cell_angle_beta 90.00
_cell_angle_gamma 90.00
loop_
_symmetry_equiv_pos_as_xyz
'x,y,z'
loop_
_atom_site_label
_atom_site_type_symbol
_atom_site_fract_x
_atom_site_fract_y
_atom_site_fract_z
Pt1 Pt 0.000 0.000 0.250
Pt2 Pt 0.500 0.000 0.000
Pt3 Pt 0.000 0.000 0.750
Pt4 Pt 0.744 0.527 0.000
Pt5 Pt 0.527 0.256 0.500
Pt6 Pt 0.000 0.500 0.500
Pt7 Pt 0.473 0.744 0.500
Pt8 Pt 0.256 0.473 0.000
S1 S 0.805 0.306 0.273
S2 S 0.694 0.805 0.773
S3 S 0.195 0.694 0.727
S4 S 0.694 0.805 0.227
S5 S 0.306 0.195 0.227
S6 S 0.805 0.306 0.727
S7 S 0.195 0.694 0.273
S8 S 0.306 0.195 0.773
```

Output
Symmetry = P4_2/m
ΔE_f (raw) = -0.431 eV per atom

16.
Here is Sb3PtS after structural relaxation from Alexandria via LeMat-Bulk. Energies are from GGA-PBEsol.

```
data_Sb3PtS
_symmetry_space_group_name_H-M 'P 1'
_symmetry_Int_Tables_number 1
_cell_length_a 5.168
_cell_length_b 5.168
_cell_length_c 5.168
_cell_angle_alpha 90.00
_cell_angle_beta 90.00
_cell_angle_gamma 90.00
loop_
_symmetry_equiv_pos_as_xyz
'x,y,z'
loop_
_atom_site_label
_atom_site_type_symbol
_atom_site_fract_x
_atom_site_fract_y
_atom_site_fract_z
Sb1 Sb 0.000 0.000 0.500
Sb2 Sb 0.000 0.500 0.000
Sb3 Sb 0.500 0.000 0.000
Pt1 Pt 0.000 0.000 0.000
S1 S 0.500 0.500 0.500
```

Output
Symmetry = Pm-3m
ΔE_f (raw) = 0.594 eV per atom

17.
Here is Sb2TePtS after structural relaxation from Alexandria via LeMat-Bulk. Energies are from GGA-PBEsol.

```
data_Sb2TePtS
_symmetry_space_group_name_H-M 'P 1'
_symmetry_Int_Tables_number 1
_cell_length_a 5.154
_cell_length_b 5.154
_cell_length_c 5.224
_cell_angle_alpha 90.00
_cell_angle_beta 90.00
_cell_angle_gamma 90.00
loop_
_symmetry_equiv_pos_as_xyz
'x,y,z'
loop_
_atom_site_label
_atom_site_type_symbol
_atom_site_fract_x
_atom_site_fract_y
_atom_site_fract_z
Pt1 Pt 0.000 0.000 0.000
Te1 Te 0.000 0.000 0.500
Sb1 Sb 0.000 0.500 0.000
Sb2 Sb 0.500 0.000 0.000
S1 S 0.500 0.500 0.500
```

Output
Symmetry = P4/mmm
ΔE_f (raw) = 0.609 eV per atom

18.
Here is PtSeS2 after structural relaxation from Alexandria via LeMat-Bulk. Energies are from GGA-PBEsol.

```
data_PtSeS2
_symmetry_space_group_name_H-M 'P 1'
_symmetry_Int_Tables_number 1
_cell_length_a 3.619
_cell_length_b 3.619
_cell_length_c 7.420
_cell_angle_alpha 75.88
_cell_angle_beta 75.88
_cell_angle_gamma 60.00
loop_
_symmetry_equiv_pos_as_xyz
'x,y,z'
loop_
_atom_site_label
_atom_site_type_symbol
_atom_site_fract_x
_atom_site_fract_y
_atom_site_fract_z
S1 S 0.111 0.111 0.668
S2 S 0.889 0.889 0.332
Se1 Se 0.000 0.000 0.000
Pt1 Pt 0.500 0.500 0.500
```

Output
Symmetry = R-3m
ΔE_f (raw) = -0.115 eV per atom

19.
Here is TlPtSeS2 after structural relaxation from Alexandria via LeMat-Bulk. Energies are from GGA-PBEsol.

```
data_TlPtSeS2
_symmetry_space_group_name_H-M 'P 1'
_symmetry_Int_Tables_number 1
_cell_length_a 4.619
_cell_length_b 4.919
_cell_length_c 4.919
_cell_angle_alpha 90.00
_cell_angle_beta 90.00
_cell_angle_gamma 90.00
loop_
_symmetry_equiv_pos_as_xyz
'x,y,z'
loop_
_atom_site_label
_atom_site_type_symbol
_atom_site_fract_x
_atom_site_fract_y
_atom_site_fract_z
Pt1 Pt 0.500 0.000 0.000
Se1 Se 0.000 0.000 0.000
S1 S 0.000 0.500 0.000
S2 S 0.000 0.000 0.500
Tl1 Tl 0.500 0.500 0.500
```

Output
Symmetry = P4/mmm
ΔE_f (raw) = 0.444 eV per atom

20.
Here is SrSiPtS2 after structural relaxation from Alexandria via LeMat-Bulk. Energies are from GGA-PBEsol.

```
data_SrSiPtS2
_symmetry_space_group_name_H-M 'P 1'
_symmetry_Int_Tables_number 1
_cell_length_a 4.556
_cell_length_b 4.725
_cell_length_c 4.725
_cell_angle_alpha 90.00
_cell_angle_beta 90.00
_cell_angle_gamma 90.00
loop_
_symmetry_equiv_pos_as_xyz
'x,y,z'
loop_
_atom_site_label
_atom_site_type_symbol
_atom_site_fract_x
_atom_site_fract_y
_atom_site_fract_z
Si1 Si 0.000 0.000 0.000
Sr1 Sr 0.500 0.500 0.500
Pt1 Pt 0.500 0.000 0.000
S1 S 0.000 0.500 0.000
S2 S 0.000 0.000 0.500
```

Output
Symmetry = P4/mmm
ΔE_f (raw) = -0.653 eV per atom

Number 1: E_tot -10.33 eV/atom, ρ 18.125 g/cm³. Number 2: E_tot -10.42 eV/atom, ρ 18.166 g/cm³. Number 3: E_tot -10.44 eV/atom, ρ 18.256 g/cm³. Number 4: E_tot -7.52 eV/atom, ρ 7.022 g/cm³. Number 5: E_tot -6.58 eV/atom, ρ 16.369 g/cm³. Number 6: E_tot -6.37 eV/atom, ρ 16.089 g/cm³. Number 7: E_tot -5.05 eV/atom, ρ 12.687 g/cm³. Number 8: E_tot -5.24 eV/atom, ρ 12.884 g/cm³. Number 9: E_tot -5.15 eV/atom, ρ 12.720 g/cm³. Number 10: E_tot -6.49 eV/atom, ρ 16.357 g/cm³. Number 11: E_tot -7.01 eV/atom, ρ 13.724 g/cm³. Number 12: E_tot -8.74 eV/atom, ρ 15.298 g/cm³. Number 13: E_tot -8.60 eV/atom, ρ 14.937 g/cm³. Number 14: E_tot -6.12 eV/atom, ρ 10.342 g/cm³. Number 15: E_tot -6.11 eV/atom, ρ 11.261 g/cm³. Number 16: E_tot -4.41 eV/atom, ρ 7.125 g/cm³. Number 17: E_tot -4.19 eV/atom, ρ 7.158 g/cm³. Number 18: E_tot -5.01 eV/atom, ρ 6.953 g/cm³. Number 19: E_tot -4.00 eV/atom, ρ 8.061 g/cm³. Number 20: E_tot -5.32 eV/atom, ρ 6.120 g/cm³.